Here is a relaxed TlCrSn2F8 crystal from the Alexandria database. Energies are from PBE+U.

Properties
Total energy ... -61.07 eV/cell

a = 5.3776 Å, b = 5.1646 Å, c = 7.8649 Å
α = 92.52°, β = 96.00°, γ = 87.74°
With the nearest neighbours (Å) after each atom.
Positions (direct):
F 0.1995 0.8301 0.8299  1 Cr 1.96
F 0.7293 0.7580 0.9364  1 Cr 1.97, 1 Sn 2.19
F 0.2707 0.2420 0.0636  1 Cr 1.97, 1 Sn 2.19
F 0.6266 0.7056 0.5691  1 Sn 2.10
F 0.8005 0.1699 0.1701  1 Cr 1.96
F 0.1373 0.7673 0.1811  1 Cr 1.97
F 0.3734 0.2944 0.4309  1 Sn 2.10
F 0.8627 0.2327 0.8189  1 Cr 1.97
Tl 0.0000 0.0000 0.5000  6 F 2.68-2.89
Sn 0.5001 0.5039 0.2362  3 F 2.10-2.35
Sn 0.4999 0.4961 0.7638  3 F 2.10-2.35
Cr 0.0000 0.0000 0.0000  6 F 1.96-1.97